1.
Computed, not measured: an optimized crystal structure of Dy4AlCo2Ge4 at the PBE-GGA level of DFT.

Cell lengths 15.241, 4.238, 6.922 Å; angles 90.00, 107.39, 90.00 degrees
Space group C2/m (No. 12)
Asymmetric unit:
Dy 0.089 0.000 0.387 [4 per cell]
Dy 0.152 0.000 0.942 [4 per cell]
Al 0.000 0.500 0.000 [2 per cell]
Co 0.221 0.500 0.632 [4 per cell]
Ge 0.067 0.500 0.666 [4 per cell]
Ge 0.204 0.500 0.268 [4 per cell]

final energy: -5.7045 eV per atom
theoretical density: 8.45 g/cm³
size of the total moment: 0.006 μB/f.u.

2.
Computed, not measured: an optimized crystal structure of Dy2AlCoNi at the PBE-GGA level of DFT.

Cell lengths 4.092, 8.310, 5.442 Å; angles 90.00, 90.00, 90.00 degrees
Space group Imm2 (No. 44)
Asymmetric unit:
Dy 0.000 0.202 0.000 [4 per cell]
Al 0.000 0.000 0.510 [2 per cell]
Co 0.000 0.500 0.275 [2 per cell]
Ni 0.000 0.500 0.737 [2 per cell]

final energy: -5.5979 eV per atom
theoretical density: 8.43 g/cm³
size of the total moment: 0.015 μB/f.u.

3.
Computed, not measured: an optimized crystal structure of Dy3AlCoS7 at the PBE-GGA level of DFT.

Cell lengths 9.5212, 9.5212, 6.1295 Å; angles 90.00, 90.00, 120.00 degrees
Space group P6_3 (No. 173)
Asymmetric unit:
Dy 0.1526 0.3740 0.0000 [6 per cell]
Al 0.3333 0.6667 0.4256 [2 per cell]
Co 0.0000 0.0000 0.3393 [2 per cell]
S 0.0880 0.5692 0.2719 [6 per cell]
S 0.0945 0.2234 0.5934 [6 per cell]
S 0.3333 0.6667 0.7897 [2 per cell]

final energy: -6.0135 eV per atom
theoretical density: 5.51 g/cm³
size of the total moment: 1.002 μB/f.u.

4.
Computed, not measured: an optimized crystal structure of DyScAlCo2 at the PBE-GGA level of DFT.

Cell lengths 3.975, 5.334, 7.971 Å; angles 90.00, 90.00, 90.00 degrees
Space group Imm2 (No. 44)
Asymmetric unit:
Dy 0.000 0.000 0.000 [2 per cell]
Sc 0.000 0.000 0.410 [2 per cell]
Al 0.000 0.500 0.202 [2 per cell]
Co 0.000 0.276 0.705 [4 per cell]

final energy: -6.2008 eV per atom
theoretical density: 6.92 g/cm³
size of the total moment: 0.001 μB/f.u.

5.
Computed, not measured: an optimized crystal structure of DyScAl4Co2 at the PBE-GGA level of DFT.

Cell lengths 6.990, 4.016, 9.614 Å; angles 90.00, 90.00, 90.00 degrees
Space group Amm2 (No. 38)
Asymmetric unit:
Dy 0.000 0.000 0.000 [2 per cell]
Sc 0.500 0.000 0.878 [2 per cell]
Al 0.202 0.000 0.284 [4 per cell]
Al 0.310 0.000 0.595 [4 per cell]
Co 0.000 0.000 0.721 [2 per cell]
Co 0.500 0.000 0.152 [2 per cell]

final energy: -5.5533 eV per atom
theoretical density: 5.33 g/cm³
size of the total moment: 0.007 μB/f.u.

6.
Computed, not measured: an optimized crystal structure of DyTmAl4Co2 at the PBE-GGA level of DFT.

Cell lengths 6.999, 4.030, 9.875 Å; angles 90.00, 90.00, 90.00 degrees
Space group Amm2 (No. 38)
Asymmetric unit:
Dy 0.000 0.000 0.000 [2 per cell]
Tm 0.500 0.000 0.122 [2 per cell]
Al 0.196 0.000 0.719 [4 per cell]
Al 0.307 0.000 0.403 [4 per cell]
Co 0.000 0.000 0.276 [2 per cell]
Co 0.500 0.000 0.846 [2 per cell]

final energy: -5.3262 eV per atom
theoretical density: 6.64 g/cm³
size of the total moment: 0.007 μB/f.u.

7.
Computed, not measured: an optimized crystal structure of DyYAl4Co2 at the PBE-GGA level of DFT.

Cell lengths 7.002, 4.014, 10.078 Å; angles 90.00, 90.00, 90.00 degrees
Space group Amm2 (No. 38)
Asymmetric unit:
Dy 0.000 0.000 0.000 [2 per cell]
Y 0.500 0.000 0.881 [2 per cell]
Al 0.194 0.000 0.279 [4 per cell]
Al 0.306 0.000 0.602 [4 per cell]
Co 0.000 0.000 0.724 [2 per cell]
Co 0.500 0.000 0.157 [2 per cell]

final energy: -5.5714 eV per atom
theoretical density: 5.60 g/cm³
size of the total moment: 0.007 μB/f.u.

8.
Computed, not measured: an optimized crystal structure of ErAl2Co at the PBE-GGA level of DFT.

Cell lengths 4.156, 18.205, 3.789 Å; angles 90.00, 90.00, 90.00 degrees
Space group Cmmm (No. 65)
Asymmetric unit:
Er 0.000 0.139 0.000 [4 per cell]
Al 0.000 0.000 0.500 [2 per cell]
Al 0.000 0.291 0.500 [4 per cell]
Al 0.000 0.500 0.000 [2 per cell]
Co 0.000 0.423 0.500 [4 per cell]

final energy: -5.2638 eV per atom
theoretical density: 6.49 g/cm³
size of the total moment: 0.006 μB/f.u.

9.
Computed, not measured: an optimized crystal structure of Er6AlCo2 at the PBE-GGA level of DFT.

Cell lengths 9.169, 9.408, 9.842 Å; angles 90.00, 90.00, 90.00 degrees
Space group Immm (No. 71)
Asymmetric unit:
Er 0.000 0.199 0.239 [8 per cell]
Er 0.188 0.500 0.175 [8 per cell]
Er 0.218 0.317 0.500 [8 per cell]
Al 0.000 0.000 0.000 [2 per cell]
Al 0.000 0.000 0.500 [2 per cell]
Co 0.000 0.330 0.000 [4 per cell]
Co 0.000 0.500 0.385 [4 per cell]

final energy: -5.3112 eV per atom
theoretical density: 8.98 g/cm³
size of the total moment: 0.002 μB/f.u.

10.
Computed, not measured: an optimized crystal structure of Er2Al3GaCo2 at the PBE-GGA level of DFT.

Cell lengths 9.863, 4.023, 6.972 Å; angles 90.00, 90.13, 90.00 degrees
Space group Cm (No. 8)
Asymmetric unit:
Er 0.000 0.000 0.000 [2 per cell]
Er 0.124 0.000 0.503 [2 per cell]
Al 0.218 0.500 0.197 [2 per cell]
Al 0.218 0.500 0.807 [2 per cell]
Al 0.403 0.000 0.307 [2 per cell]
Ga 0.410 0.000 0.698 [2 per cell]
Co 0.274 0.000 0.000 [2 per cell]
Co 0.345 0.500 0.502 [2 per cell]

final energy: -5.2459 eV per atom
theoretical density: 7.24 g/cm³
size of the total moment: 0.008 μB/f.u.

11.
Computed, not measured: an optimized crystal structure of HoErAlCo2 at the PBE-GGA level of DFT.

Cell lengths 3.843, 3.753, 13.087 Å; angles 90.00, 90.00, 90.00 degrees
Space group Amm2 (No. 38)
Asymmetric unit:
Ho 0.000 0.000 0.000 [2 per cell]
Er 0.000 0.000 0.730 [2 per cell]
Al 0.500 0.000 0.365 [2 per cell]
Co 0.500 0.000 0.166 [2 per cell]
Co 0.500 0.000 0.566 [2 per cell]

relative energy among the computed polymorphs: 89.5 meV per atom
final energy: -5.7476 eV per atom
theoretical density: 8.39 g/cm³
size of the total moment: 0.218 μB/f.u.

12.
Computed, not measured: an optimized crystal structure of HoErAlCo2 at the PBE-GGA level of DFT.

Cell lengths 4.009, 5.421, 8.240 Å; angles 90.00, 90.00, 90.00 degrees
Space group Imm2 (No. 44)
Asymmetric unit:
Ho 0.000 0.000 0.000 [2 per cell]
Er 0.000 0.000 0.591 [2 per cell]
Al 0.000 0.500 0.796 [2 per cell]
Co 0.000 0.276 0.296 [4 per cell]

relative energy among the computed polymorphs: 0.0 meV per atom
final energy: -5.8371 eV per atom
theoretical density: 8.85 g/cm³
size of the total moment: 0.002 μB/f.u.

13.
Computed, not measured: an optimized crystal structure of HoErAl4Co2 at the PBE-GGA level of DFT.

Cell lengths 7.026, 4.018, 9.901 Å; angles 90.00, 90.00, 90.00 degrees
Space group Amm2 (No. 38)
Asymmetric unit:
Ho 0.000 0.000 0.000 [2 per cell]
Er 0.500 0.000 0.881 [2 per cell]
Al 0.195 0.000 0.281 [4 per cell]
Al 0.306 0.000 0.601 [4 per cell]
Co 0.000 0.000 0.724 [2 per cell]
Co 0.500 0.000 0.157 [2 per cell]

final energy: -5.3360 eV per atom
theoretical density: 6.63 g/cm³
size of the total moment: 0.011 μB/f.u.

14.
Computed, not measured: an optimized crystal structure of ErAlIn4Co at the PBE-GGA level of DFT.

Cell lengths 4.501, 4.501, 7.366 Å; angles 90.00, 90.00, 90.00 degrees
Space group P4/mmm (No. 123)
Asymmetric unit:
Er 0.000 0.000 0.000 [1 per cell]
Al 0.500 0.500 0.000 [1 per cell]
In 0.000 0.500 0.300 [4 per cell]
Co 0.000 0.000 0.500 [1 per cell]

final energy: -3.9823 eV per atom
theoretical density: 7.93 g/cm³
size of the total moment: 0.004 μB/f.u.

15.
Computed, not measured: an optimized crystal structure of Er2AlCoIr at the PBE-GGA level of DFT.

Cell lengths 4.047, 8.370, 5.629 Å; angles 90.00, 90.00, 90.00 degrees
Space group Imm2 (No. 44)
Asymmetric unit:
Er 0.000 0.201 0.000 [4 per cell]
Al 0.000 0.000 0.512 [2 per cell]
Co 0.000 0.500 0.262 [2 per cell]
Ir 0.000 0.500 0.729 [2 per cell]

final energy: -6.4708 eV per atom
theoretical density: 10.67 g/cm³
size of the total moment: 0.002 μB/f.u.

16.
Computed, not measured: an optimized crystal structure of Er2AlCoOs at the PBE-GGA level of DFT.

Cell lengths 4.065, 8.437, 5.548 Å; angles 90.00, 90.00, 90.00 degrees
Space group Imm2 (No. 44)
Asymmetric unit:
Er 0.000 0.207 0.000 [4 per cell]
Al 0.000 0.000 0.497 [2 per cell]
Co 0.000 0.500 0.267 [2 per cell]
Os 0.000 0.500 0.701 [2 per cell]

final energy: -6.6860 eV per atom
theoretical density: 10.66 g/cm³
size of the total moment: 0.002 μB/f.u.

17.
Computed, not measured: an optimized crystal structure of ErScAlCo2 at the PBE-GGA level of DFT.

Cell lengths 3.967, 5.341, 7.967 Å; angles 90.00, 90.00, 90.00 degrees
Space group Imm2 (No. 44)
Asymmetric unit:
Er 0.000 0.000 0.000 [2 per cell]
Sc 0.000 0.000 0.409 [2 per cell]
Al 0.000 0.500 0.201 [2 per cell]
Co 0.000 0.276 0.705 [4 per cell]

final energy: -6.2139 eV per atom
theoretical density: 7.03 g/cm³
size of the total moment: 0.002 μB/f.u.

18.
Computed, not measured: an optimized crystal structure of TbErAl4Co2 at the PBE-GGA level of DFT.

Cell lengths 7.009, 4.043, 9.887 Å; angles 90.00, 90.00, 90.00 degrees
Space group Amm2 (No. 38)
Asymmetric unit:
Tb 0.000 0.000 0.000 [2 per cell]
Er 0.500 0.000 0.879 [2 per cell]
Al 0.196 0.000 0.281 [4 per cell]
Al 0.307 0.000 0.598 [4 per cell]
Co 0.000 0.000 0.724 [2 per cell]
Co 0.500 0.000 0.155 [2 per cell]

final energy: -5.3360 eV per atom
theoretical density: 6.54 g/cm³
size of the total moment: 0.004 μB/f.u.

19.
Computed, not measured: an optimized crystal structure of YErAl4Co2 at the PBE-GGA level of DFT.

Cell lengths 6.996, 4.010, 10.066 Å; angles 90.00, 90.00, 90.00 degrees
Space group Amm2 (No. 38)
Asymmetric unit:
Y 0.000 0.000 0.000 [2 per cell]
Er 0.500 0.000 0.119 [2 per cell]
Al 0.194 0.000 0.721 [4 per cell]
Al 0.306 0.000 0.398 [4 per cell]
Co 0.000 0.000 0.276 [2 per cell]
Co 0.500 0.000 0.843 [2 per cell]

final energy: -5.5712 eV per atom
theoretical density: 5.67 g/cm³
size of the total moment: 0.004 μB/f.u.

20.
Computed, not measured: an optimized crystal structure of AlFeCo2 at the PBE-GGA level of DFT.

Cell lengths 4.0523, 4.0523, 6.9710 Å; angles 90.00, 90.00, 120.00 degrees
Space group P6_3/mmc (No. 194)
Asymmetric unit:
Al 0.0000 0.0000 0.2500 [2 per cell]
Fe 0.3333 0.6667 0.2500 [2 per cell]
Co 0.3333 0.6667 0.5812 [4 per cell]

final energy: -6.5138 eV per atom
theoretical density: 6.72 g/cm³
size of the total moment: 4.849 μB/f.u.

21.
Computed, not measured: an optimized crystal structure of Al2FeCo at the PBE-GGA level of DFT.

Cell lengths 4.049, 4.049, 2.837 Å; angles 90.00, 90.00, 90.00 degrees
Space group P4/mmm (No. 123)
Asymmetric unit:
Al 0.000 0.500 0.000 [2 per cell]
Fe 0.000 0.000 0.500 [1 per cell]
Co 0.500 0.500 0.500 [1 per cell]

final energy: -6.2040 eV per atom
theoretical density: 6.02 g/cm³
size of the total moment: 0.480 μB/f.u.

22.
Computed, not measured: an optimized crystal structure of Al2FeCo at the PBE-GGA level of DFT.

Cell lengths 5.702, 5.702, 5.702 Å; angles 90.00, 90.00, 90.00 degrees
Space group Fm-3m (No. 225)
Asymmetric unit:
Al 0.250 0.250 0.250 [8 per cell]
Fe 0.000 0.000 0.000 [4 per cell]
Co 0.000 0.000 0.500 [4 per cell]

final energy: -6.1998 eV per atom
theoretical density: 6.05 g/cm³
size of the total moment: 0.011 μB/f.u.

23.
Computed, not measured: an optimized crystal structure of Al5FeCo4 at the PBE-GGA level of DFT.

Cell lengths 2.848, 2.848, 14.261 Å; angles 90.00, 90.00, 90.00 degrees
Space group P4/mmm (No. 123)
Asymmetric unit:
Al 0.000 0.000 0.000 [1 per cell]
Al 0.000 0.000 0.200 [2 per cell]
Al 0.000 0.000 0.401 [2 per cell]
Fe 0.500 0.500 0.500 [1 per cell]
Co 0.500 0.500 0.100 [2 per cell]
Co 0.500 0.500 0.298 [2 per cell]

final energy: -6.1013 eV per atom
theoretical density: 6.12 g/cm³
size of the total moment: 0.281 μB/f.u.

24.
Computed, not measured: an optimized crystal structure of AlFeCo2 at the PBE-GGA level of DFT.

Cell lengths 3.9786, 3.9786, 7.1241 Å; angles 90.00, 90.00, 120.00 degrees
Space group P6_3/mmc (No. 194)
Asymmetric unit:
Al 0.0000 0.0000 0.0000 [2 per cell]
Fe 0.3333 0.6667 0.2500 [2 per cell]
Co 0.3333 0.6667 0.5947 [4 per cell]

final energy: -6.6439 eV per atom
theoretical density: 6.82 g/cm³
size of the total moment: 4.679 μB/f.u.